! GaB2O4, optimized geometry, DFT PBE-GGA; values from VASP
! E_form (uncorrected)	-1805	meV/atom
! DFT total energy	-48.85	eV/cell
! DOS(E_F)	2.230	states/eV/cell
! symmetry	No. 87
&SYSTEM
  ibrav = 0, nat = 7, ntyp = 3
/
ATOMIC_SPECIES
Ga 69.72 Ga.upf
B 10.81 B.upf
O 16.00 O.upf
CELL_PARAMETERS angstrom
-3.0920 3.0920 2.0492
3.0920 -3.0920 2.0492
3.0920 3.0920 -2.0492
ATOMIC_POSITIONS crystal
Ga 0.0000 0.0000 0.0000
B 0.2500 0.7500 0.5000
B 0.7500 0.2500 0.5000
O 0.0638 0.6623 0.7261
O 0.3377 0.0638 0.4015
O 0.6623 0.9362 0.5985
O 0.9362 0.3377 0.2739